# KPt2

KPt2 at its PBEsol-relaxed geometry (meta-GGA SCAN, Alexandria).

For the energy relative to the elements, the calculation gives -0.212 eV/atom.

a b c (Å): 2.7233 4.3592 6.1694
angles (deg): 110.69 102.75 90.00
With the nearest neighbours (Å) after each atom.
Atoms (fractional coordinates):
1 K 0.0000 0.0000 0.0000  2 K 2.72, 2 Pt 3.02
2 Pt 0.2693 0.2693 0.5385  6 Pt 2.61-2.72
3 Pt 0.7307 0.7307 0.4615  6 Pt 2.61-2.72

***

# BaTaSe2

BaTaSe2 at its PBEsol-relaxed geometry (meta-GGA SCAN, Alexandria).

The calculation puts the energy above the lowest structure with this stoichiometry at 0.000 eV/atom. The value obtained for the uncorrected formation energy is -0.843 eV per atom.

a b c (Å): 3.6457 4.3822 7.3119
angles (deg): 104.10 90.00 114.58
With the nearest neighbours (Å) after each atom.
Atoms (fractional coordinates):
1 Se 0.0098 0.0196 0.9548  2 Ta 2.60
2 Se 0.1868 0.3735 0.5769  3 Ta 2.53-2.59
3 Ba 0.7883 0.5765 0.2656  6 Se 3.19-3.38
4 Ta 0.5152 0.0303 0.7026  5 Se 2.53-2.60

***

# InTcPb2

InTcPb2 at its PBEsol-relaxed geometry (meta-GGA SCAN, Alexandria).

For the energy relative to the elements, the calculation gives 0.767 eV/atom.

a b c (Å): 3.5658 4.8802 5.0735
angles (deg): 90.00 90.00 90.00
With the nearest neighbours (Å) after each atom.
Atoms (fractional coordinates):
1 Pb 0.0000 0.0000 0.0000  4 Tc 3.02, 4 Pb 3.10
2 In 0.0000 0.5000 0.5000  4 Pb 3.02, 4 Tc 3.10
3 Pb 0.5000 0.0000 0.5000  4 In 3.02, 4 Pb 3.10
4 Tc 0.5000 0.5000 0.0000  4 Pb 3.02, 4 In 3.10

***

# Be4FeRu

Be4FeRu at its PBEsol-relaxed geometry (meta-GGA SCAN, Alexandria).

For the energy relative to the elements, the calculation gives -0.367 eV/atom.

a b c (Å): 4.2172 4.2172 4.2172
angles (deg): 60.00 60.00 60.00
With the nearest neighbours (Å) after each atom.
Atoms (fractional coordinates):
1 Be 0.3754 0.8739 0.3754  6 Be 2.10-2.11
2 Be 0.3754 0.3754 0.8739  6 Be 2.10-2.11
3 Be 0.3754 0.3754 0.3754  6 Be 2.10-2.11
4 Ru 0.0000 0.0000 0.0000  12 Be 2.47, 4 Fe 2.58
5 Be 0.8739 0.3754 0.3754  6 Be 2.10-2.11
6 Fe 0.7500 0.7500 0.7500  12 Be 2.47, 4 Ru 2.58

***

# Os2RuW

Os2RuW at its PBEsol-relaxed geometry (meta-GGA SCAN, Alexandria).

For the energy relative to the elements, the calculation gives 0.064 eV/atom. The calculation puts the energy above the lowest structure with this stoichiometry at 0.084 eV/atom.

a b c (Å): 2.7227 4.7030 4.7104
angles (deg): 109.31 90.00 90.00
With the nearest neighbours (Å) after each atom.
Atoms (fractional coordinates):
1 Os 0.5000 0.5000 0.0000  6 Os 2.72, 4 W 2.72, 2 Ru 2.72
2 Os 0.0000 0.0000 0.0000  6 Os 2.72, 4 Ru 2.72, 2 W 2.72
3 Ru 0.5000 0.0000 0.5000  4 W 2.72, 6 Os 2.72, 2 Ru 2.72
4 W 0.0000 0.5000 0.5000  4 Ru 2.72, 6 Os 2.72, 2 W 2.72

***

# Ca2SiIr2

Ca2SiIr2 at its PBEsol-relaxed geometry (meta-GGA SCAN, Alexandria).

The value obtained for the uncorrected formation energy is -0.857 eV per atom.

a b c (Å): 5.6132 5.6132 7.2645
angles (deg): 80.89 80.89 61.87
With the nearest neighbours (Å) after each atom.
Atoms (fractional coordinates):
1 Ir 0.2241 0.5098 0.0101  2 Si 2.39-2.41, 1 Ir 2.60
2 Ca 0.9858 0.7228 0.6390  6 Ir 2.97-3.09, 1 Si 3.06
3 Ca 0.0142 0.2772 0.3610  6 Ir 2.97-3.09, 1 Si 3.06
4 Ir 0.4902 0.7759 0.4899  2 Si 2.39-2.41, 1 Ir 2.60
5 Ca 0.7228 0.9858 0.1390  6 Ir 2.97-3.09, 1 Si 3.06
6 Si 0.4328 0.5672 0.2500  4 Ir 2.39-2.41
7 Ir 0.5098 0.2241 0.5101  2 Si 2.39-2.41, 1 Ir 2.60
8 Si 0.5672 0.4328 0.7500  4 Ir 2.39-2.41
9 Ca 0.2772 0.0142 0.8610  6 Ir 2.97-3.09, 1 Si 3.06
10 Ir 0.7759 0.4902 0.9899  2 Si 2.39-2.41, 1 Ir 2.60

***

no.,calculated density (g/cm³)
1,10.7
2,7.7
3,11.8
4,6.0
5,19.4
6,8.2